(1)
Entry from OQMD via LeMat-Bulk: LuCdAgAu after structural relaxation (GGA-PBE). Values from VASP.

Values from the calculation:
Mass density ... 12.16 Mg/m³
E above lowest polymorph ... 161 meV per atom
Final energy ... -3.204 eV per atom
Magnetization ... 0.00 Bohr magnetons per cell
Formation energy ... -326.7 meV/atom

```
&SYSTEM
  ibrav = 0, nat = 4, ntyp = 4
/
ATOMIC_SPECIES
Ag 107.87 Ag.upf
Au 196.97 Au.upf
Cd 112.41 Cd.upf
Lu 174.97 Lu.upf
ATOMIC_POSITIONS angstrom
Ag 1.554 -0.190 5.736
Au 0.777 -0.095 2.868
Cd 0.000 0.000 0.000
Lu 2.330 -0.284 8.603
CELL_PARAMETERS angstrom
3.459 1.140 3.209
-1.217 1.404 4.485
0.865 -2.923 3.777
```

(2)
Entry from OQMD via LeMat-Bulk: MgSc2Cd2Ag2Au after structural relaxation (GGA-PBE). Values from VASP.

Values from the calculation:
Mass density ... 7.89 Mg/m³
Final energy ... -3.438 eV per atom
Magnetization ... 0.00 Bohr magnetons per cell

```
&SYSTEM
  ibrav = 0, nat = 8, ntyp = 5
/
ATOMIC_SPECIES
Ag 107.87 Ag.upf
Au 196.97 Au.upf
Cd 112.41 Cd.upf
Mg 24.30 Mg.upf
Sc 44.96 Sc.upf
ATOMIC_POSITIONS angstrom
Ag 0.000 0.000 0.000
Ag 2.521 -3.912 1.265
Au -0.795 -3.203 0.814
Cd 1.163 -1.515 2.271
Cd 4.675 -3.106 -0.556
Mg 3.317 -0.709 0.451
Sc 1.230 -2.369 -1.024
Sc 4.608 -2.252 2.739
CELL_PARAMETERS angstrom
-1.048 -2.309 4.084
-0.542 -4.097 -2.456
6.633 -1.418 0.901
```